[1]
HF | PBE | relaxed Values from VASP.

Cell and atoms, written as Quantum ESPRESSO input:
```
&SYSTEM
  ibrav = 0, nat = 8, ntyp = 2
/
ATOMIC_SPECIES
H 1.01 H.upf
F 19.00 F.upf
ATOMIC_POSITIONS angstrom
H 3.312 -1.001 3.345
H 1.500 -0.293 5.875
H 0.647 0.541 2.505
H -1.319 -0.948 4.530
F 0.600 -0.587 2.372
F -1.364 0.151 4.814
F 3.512 0.096 3.566
F 1.393 -1.362 5.504
CELL_PARAMETERS angstrom
-3.050 -0.929 4.974
5.043 -1.021 2.902
0.154 2.197 0.505
```

ΔE to the lowest computed polymorph	115	meV/atom
space-group type	P4_2/mnm, No. 136
VASP energy	-4.0944	eV/atom
Fermi-level density of states	0.0	states/eV per cell
density	1.69	Mg/m³

***

[2]
Mg4Sn3Au | PBE | relaxed Values from VASP.

Cell and atoms, written as Quantum ESPRESSO input:
```
&SYSTEM
  ibrav = 0, nat = 8, ntyp = 3
/
ATOMIC_SPECIES
Mg 24.30 Mg.upf
Au 196.97 Au.upf
Sn 118.71 Sn.upf
ATOMIC_POSITIONS angstrom
Mg 6.399 11.639 4.819
Mg 0.696 1.266 0.524
Mg 2.607 4.742 1.963
Mg 4.488 8.163 3.380
Au -0.785 -0.486 2.215
Sn 0.876 2.534 3.465
Sn 2.763 5.967 4.886
Sn 4.650 9.399 6.308
CELL_PARAMETERS angstrom
-2.775 0.785 1.788
1.205 -1.756 2.641
7.095 12.904 5.343
```

space-group type	P4/mmm, No. 123
VASP energy	-2.9582	eV/atom
Fermi-level density of states	2.5	states/eV per cell
formation energy	-0.250	eV per atom
density	5.99	Mg/m³

***

[3]
Tb8CdTc2 | PBE | relaxed Values from VASP.

Cell and atoms, written as Quantum ESPRESSO input:
```
&SYSTEM
  ibrav = 0, nat = 11, ntyp = 3
/
ATOMIC_SPECIES
Tb 158.93 Tb.upf
Cd 112.41 Cd.upf
Tc 98.00 Tc.upf
ATOMIC_POSITIONS angstrom
Tb -4.421 4.061 4.281
Tb -5.231 0.513 3.182
Tb -0.146 0.157 2.656
Tb 2.020 -3.299 5.959
Tb 1.968 -0.055 5.225
Tb -2.549 -0.578 4.835
Tb -1.583 5.693 4.480
Tb -0.892 2.197 5.609
Cd 0.606 5.100 6.405
Tc -0.185 -2.255 4.875
Tc -2.407 2.174 3.412
CELL_PARAMETERS angstrom
-2.899 -4.023 2.047
5.101 -1.387 4.491
-4.338 7.695 1.948
```

space-group type	Cm, No. 8
VASP energy	-5.4024	eV/atom
Fermi-level density of states	7.5	states/eV per cell
formation energy	-0.067	eV per atom
density	8.91	Mg/m³

***

What is the Fermi-level density of states in the first record?
0.0 states/eV per cell

***

Please write out number 3 again, unchanged.
Tb8CdTc2 | PBE | relaxed Values from VASP.

Cell and atoms, written as Quantum ESPRESSO input:
```
&SYSTEM
  ibrav = 0, nat = 11, ntyp = 3
/
ATOMIC_SPECIES
Tb 158.93 Tb.upf
Cd 112.41 Cd.upf
Tc 98.00 Tc.upf
ATOMIC_POSITIONS angstrom
Tb -4.421 4.061 4.281
Tb -5.231 0.513 3.182
Tb -0.146 0.157 2.656
Tb 2.020 -3.299 5.959
Tb 1.968 -0.055 5.225
Tb -2.549 -0.578 4.835
Tb -1.583 5.693 4.480
Tb -0.892 2.197 5.609
Cd 0.606 5.100 6.405
Tc -0.185 -2.255 4.875
Tc -2.407 2.174 3.412
CELL_PARAMETERS angstrom
-2.899 -4.023 2.047
5.101 -1.387 4.491
-4.338 7.695 1.948
```

space-group type	Cm, No. 8
VASP energy	-5.4024	eV/atom
Fermi-level density of states	7.5	states/eV per cell
formation energy	-0.067	eV per atom
density	8.91	Mg/m³

***

Please write out number 1 again, unchanged.
HF | PBE | relaxed Values from VASP.

Cell and atoms, written as Quantum ESPRESSO input:
```
&SYSTEM
  ibrav = 0, nat = 8, ntyp = 2
/
ATOMIC_SPECIES
H 1.01 H.upf
F 19.00 F.upf
ATOMIC_POSITIONS angstrom
H 3.312 -1.001 3.345
H 1.500 -0.293 5.875
H 0.647 0.541 2.505
H -1.319 -0.948 4.530
F 0.600 -0.587 2.372
F -1.364 0.151 4.814
F 3.512 0.096 3.566
F 1.393 -1.362 5.504
CELL_PARAMETERS angstrom
-3.050 -0.929 4.974
5.043 -1.021 2.902
0.154 2.197 0.505
```

ΔE to the lowest computed polymorph	115	meV/atom
space-group type	P4_2/mnm, No. 136
VASP energy	-4.0944	eV/atom
Fermi-level density of states	0.0	states/eV per cell
density	1.69	Mg/m³

***

The highest VASP energy belongs to which entry?
Mg4Sn3Au